# Ac3Sm2Cl

Crystalline Ac3Sm2Cl at its relaxed geometry (PBE-GGA, OQMD).

Cell lengths 7.3083, 7.3083, 5.9885 Å; angles 90.00, 90.00, 120.11 degrees
Last column: nearest neighbours and their distance in Å.
Fractional positions:
Ac 0.5000 0.0000 0.5000  4 Ac 3.65, 4 Sm 3.66
Ac 0.0000 0.5000 0.5000  4 Ac 3.65, 4 Sm 3.66
Ac 0.5000 0.5000 0.5000  4 Ac 3.65, 4 Sm 3.66
Cl 0.0000 0.0000 0.0000  6 Sm 4.21-4.22, 4 Ac 4.72
Sm 0.6665 0.3335 0.0000  6 Ac 3.66
Sm 0.3335 0.6665 0.0000  6 Ac 3.66

Calculated values
Symmetry: No. 65
Raw total energy: -20.7 eV per cell
M_tot: 0.37 μB per formula unit

# AcCo

Crystalline AcCo at its relaxed geometry (PBE-GGA, OQMD).

Cell lengths 4.0918, 4.0918, 4.0918 Å; angles 60.00, 60.00, 60.00 degrees
Last column: nearest neighbours and their distance in Å.
Fractional positions:
Ac 0.0000 0.0000 0.0000  6 Co 2.89
Co 0.5000 0.5000 0.5000  6 Ac 2.89

Calculated values
Energy relative to the elements: 0.285 eV/atom
Symmetry: No. 225
Raw total energy: -10.6 eV per cell
M_tot: 0.00 μB per formula unit

# Ac3Co

Crystalline Ac3Co at its relaxed geometry (PBE-GGA, OQMD).

Cell lengths 5.6592, 5.6592, 5.6592 Å; angles 60.00, 60.00, 60.00 degrees
Last column: nearest neighbours and their distance in Å.
Fractional positions:
Ac 0.0000 0.0000 0.0000  4 Ac 3.47, 4 Co 3.47
Ac 0.2500 0.2500 0.2500  8 Ac 3.47
Ac 0.5000 0.5000 0.5000  4 Co 3.47, 4 Ac 3.47
Co 0.7500 0.7500 0.7500  8 Ac 3.47

Calculated values
Energy relative to the elements: 0.610 eV/atom
Symmetry: No. 225
Excess energy over the best structure of this formula in the dataset: 368 meV/atom
Raw total energy: -17.0 eV per cell
M_tot: 0.02 μB per formula unit

# AcCo

Crystalline AcCo at its relaxed geometry (PBE-GGA, OQMD).

Cell lengths 3.9889, 3.9888, 3.6906 Å; angles 90.00, 90.00, 120.00 degrees
Last column: nearest neighbours and their distance in Å.
Fractional positions:
Ac 0.6667 0.3333 0.7500  6 Co 2.95
Co 0.3333 0.6667 0.2500  6 Ac 2.95

Calculated values
Energy relative to the elements: 0.410 eV/atom
Symmetry: No. 187
Raw total energy: -10.4 eV per cell
M_tot: 0.00 μB per formula unit

# AcCo

Crystalline AcCo at its relaxed geometry (PBE-GGA, OQMD).

Cell lengths 4.4054, 4.4054, 4.4054 Å; angles 60.00, 60.00, 60.00 degrees
Last column: nearest neighbours and their distance in Å.
Fractional positions:
Ac 0.0000 0.0000 0.0000  4 Co 2.70
Co 0.2500 0.2500 0.2500  4 Ac 2.70

Calculated values
Energy relative to the elements: 0.729 eV/atom
Symmetry: No. 216
Raw total energy: -9.8 eV per cell
M_tot: 0.00 μB per formula unit

# Ac3Co

Crystalline Ac3Co at its relaxed geometry (PBE-GGA, OQMD).

Cell lengths 5.1383, 5.1383, 5.1383 Å; angles 90.00, 90.00, 90.00 degrees
Last column: nearest neighbours and their distance in Å.
Fractional positions:
Ac 0.5000 0.5000 0.0000  8 Ac 3.63, 4 Co 3.63
Ac 0.5000 0.0000 0.5000  8 Ac 3.63, 4 Co 3.63
Ac 0.0000 0.5000 0.5000  8 Ac 3.63, 4 Co 3.63
Co 0.0000 0.0000 0.0000  12 Ac 3.63

Calculated values
Energy relative to the elements: 0.538 eV/atom
Symmetry: No. 221
Excess energy over the best structure of this formula in the dataset: 296 meV/atom
Raw total energy: -17.3 eV per cell
M_tot: 0.12 μB per formula unit

# Ac3Co

Crystalline Ac3Co at its relaxed geometry (PBE-GGA, OQMD).

Cell lengths 9.5274, 9.5274, 3.9729 Å; angles 90.00, 90.00, 120.00 degrees
Last column: nearest neighbours and their distance in Å.
Fractional positions:
Ac 0.2038 0.4075 0.2500  2 Co 2.92
Ac 0.5925 0.7962 0.2500  2 Co 2.92
Ac 0.2038 0.7962 0.2500  2 Co 2.92
Ac 0.7962 0.2038 0.7500  2 Co 2.92
Ac 0.4075 0.2038 0.7500  2 Co 2.92
Ac 0.7962 0.5925 0.7500  2 Co 2.92
Co 0.6667 0.3333 0.2500  6 Ac 2.92
Co 0.3333 0.6667 0.7500  6 Ac 2.92

Calculated values
Energy relative to the elements: 0.242 eV/atom
Symmetry: No. 194
Excess energy over the best structure of this formula in the dataset: 0 meV/atom
Raw total energy: -36.9 eV per cell
M_tot: 0.00 μB per formula unit

# AcCo

Crystalline AcCo at its relaxed geometry (PBE-GGA, OQMD).

Cell lengths 4.1274, 4.1274, 4.1274 Å; angles 59.29, 59.29, 59.29 degrees
Last column: nearest neighbours and their distance in Å.
Fractional positions:
Ac 0.0000 0.0000 0.0000  6 Co 2.90
Co 0.5000 0.5000 0.5000  6 Ac 2.90

Calculated values
Energy relative to the elements: 0.283 eV/atom
Symmetry: No. 166
Raw total energy: -10.6 eV per cell
M_tot: 0.00 μB per formula unit

- Which value of M_tot does entry 4 give?
  0.00 μB per formula unit

- The highest M_tot belongs to which entry?
  Ac3Sm2Cl

What did the first record say?
# Ac3Sm2Cl

Crystalline Ac3Sm2Cl at its relaxed geometry (PBE-GGA, OQMD).

Cell lengths 7.3083, 7.3083, 5.9885 Å; angles 90.00, 90.00, 120.11 degrees
Last column: nearest neighbours and their distance in Å.
Fractional positions:
Ac 0.5000 0.0000 0.5000  4 Ac 3.65, 4 Sm 3.66
Ac 0.0000 0.5000 0.5000  4 Ac 3.65, 4 Sm 3.66
Ac 0.5000 0.5000 0.5000  4 Ac 3.65, 4 Sm 3.66
Cl 0.0000 0.0000 0.0000  6 Sm 4.21-4.22, 4 Ac 4.72
Sm 0.6665 0.3335 0.0000  6 Ac 3.66
Sm 0.3335 0.6665 0.0000  6 Ac 3.66

Calculated values
Symmetry: No. 65
Raw total energy: -20.7 eV per cell
M_tot: 0.37 μB per formula unit

- raw total energy of number 8 (AcCo)?
  -10.6 eV per cell